The following is a DFT calculation (GGA-PBE) of a geometry-optimized Cs2Sb3Se8 structure.

Cell: 9.7906 9.7906 6.8523 Å, 103.75 103.75 47.82°
Positions (direct):
1 Cs 0.2423 0.2423 0.1714
2 Cs 0.7577 0.7577 0.8286
3 Sb 0.2418 0.7582 0.5000
4 Sb 0.5000 0.5000 0.0000
5 Sb 0.7582 0.2418 0.5000
6 Se 0.1025 0.1025 0.4706
7 Se 0.1723 0.6590 0.1117
8 Se 0.3410 0.8277 0.8883
9 Se 0.4061 0.4061 0.6164
10 Se 0.5939 0.5939 0.3836
11 Se 0.6590 0.1723 0.1117
12 Se 0.8277 0.3410 0.8883
13 Se 0.8975 0.8975 0.5294

- space group = No. 12
- formation energy (no corrections) (meV per atom) = -368
- Fermi-level density of states (states/eV/atom) = 0.38